No. 1
A relaxed Pr4Nd2Dy3 crystal. Source: the Alexandria database, functional PBE.

Cell and atoms, written as CIF:
```
data_Pr4Nd2Dy3
_cell_length_a 3.5926
_cell_length_b 9.9400
_cell_length_c 8.9755
_cell_angle_alpha 80.14
_cell_angle_beta 101.54
_cell_angle_gamma 90.00
_symmetry_space_group_name_H-M 'P 1'
_symmetry_Int_Tables_number 1
_symmetry_space_group_name_Hall 'P 1'
loop_
_atom_site_label
_atom_site_fract_x
_atom_site_fract_y
_atom_site_fract_z
Pr1 0.5000 0.6682 0.0000
Pr2 0.3355 0.2199 0.6710
Pr3 0.5000 0.3318 0.0000
Pr4 0.6645 0.7801 0.3290
Nd1 0.6735 0.1222 0.3470
Nd2 0.3265 0.8778 0.6530
Dy1 0.1625 0.4569 0.3250
Dy2 0.8375 0.5431 0.6750
Dy3 0.0000 0.0000 0.0000
```

## Properties
Formation enthalpy at 0 K ... 0.46 eV per formula unit
Volume ... 34.36 A^3/atom
Total magnetic moment ... 0.00 μB/atom
E ... -4.667 eV per atom
Space group ... No. 12

No. 2
A relaxed SiSb2PbO crystal. Source: the Alexandria database, functional PBE.

Cell and atoms, written as CIF:
```
data_SiSb2PbO
_cell_length_a 5.0766
_cell_length_b 5.6334
_cell_length_c 5.0766
_cell_angle_alpha 90.00
_cell_angle_beta 90.00
_cell_angle_gamma 90.00
_symmetry_space_group_name_H-M 'P 1'
_symmetry_Int_Tables_number 1
_symmetry_space_group_name_Hall 'P 1'
loop_
_atom_site_label
_atom_site_fract_x
_atom_site_fract_y
_atom_site_fract_z
Pb1 0.0000 0.5000 0.0000
Sb1 0.0000 0.0000 0.5000
Sb2 0.5000 0.0000 0.0000
Si1 0.0000 0.0000 0.0000
O1 0.5000 0.5000 0.5000
```

## Properties
Volume ... 29.04 A^3/atom
Total magnetic moment ... 0.00 μB/atom
Formation energy from raw total energies ... 4.5 eV per formula unit
E ... -3.570 eV per atom
Space group ... No. 123

Number 2 is which compound?
SiSb2PbO